Density functional theory data (PBE-GGA) for a relaxed NbGaSi crystal.

Cell: 3.664 3.622 7.328 Å, 104.31 90.00 90.00°
Fractional coordinates of all 6 atoms:
Nb  0.250  0.096  0.193
Nb  0.750  0.904  0.807
Ga  0.250  0.750  0.500
Ga  0.750  0.250  0.500
Si  0.250  0.442  0.883
Si  0.750  0.558  0.117

Output
The raw formation energy comes out at -1.38 eV/f.u. The value obtained for the spin magnetization is 0.000 μB per formula unit. As for the energy above the most stable polymorph in this dataset: 0.000 eV per atom.